The following is a DFT calculation (PBE) of a relaxed structure of MoIrC3.

Values from the calculation:
E_form, meV/atom: 2365
Energy above the lowest structure with this stoichiometry, meV per atom: 0
Crystal system: cubic

a b c (Å): 3.9299 3.9299 3.9299
angles (deg): 90.00 90.00 90.00
Closest atoms and distances in Å follow each position.
Fractional coordinates of all 5 atoms:
C 0.0000 0.0000 0.5000  2 Ir 1.96
C 0.5000 0.0000 0.0000  2 Ir 1.96
C 0.0000 0.5000 0.0000  2 Ir 1.96
Mo 0.5000 0.5000 0.5000  12 C 2.78
Ir 0.0000 0.0000 0.0000  6 C 1.96

---

The following is a DFT calculation (PBE) of a relaxed structure of Dy4NiBi.

Values from the calculation:
E_form, meV/atom: -430
Energy above the lowest structure with this stoichiometry, meV per atom: 0
Crystal system: monoclinic

a b c (Å): 6.0507 6.6387 8.7640
angles (deg): 90.00 110.46 90.00
Closest atoms and distances in Å follow each position.
Fractional coordinates of all 12 atoms:
Dy 0.4021 0.7500 0.1374  1 Ni 2.78
Dy 0.5625 0.2500 0.4226  1 Ni 2.64
Ni 0.2388 0.2500 0.5606  6 Dy 2.64-2.83
Bi 0.2208 0.2500 0.0518  9 Dy 3.18-3.55
Dy 0.9827 0.4989 0.2953  2 Ni 2.71-2.83
Dy 0.5979 0.2500 0.8626  1 Ni 2.78
Dy 0.9827 0.0011 0.2953  2 Ni 2.71-2.83
Dy 0.0173 0.9989 0.7047  2 Ni 2.71-2.83
Bi 0.7792 0.7500 0.9482  9 Dy 3.18-3.55
Dy 0.4375 0.7500 0.5774  1 Ni 2.64
Ni 0.7612 0.7500 0.4394  6 Dy 2.64-2.83
Dy 0.0173 0.5011 0.7047  2 Ni 2.71-2.83

---

The following is a DFT calculation (PBE) of a relaxed structure of ZrTeBr2.

Values from the calculation:
Energy relative to the elements, uncorrected, meV/atom: -175
Energy above the lowest structure with this stoichiometry, meV per atom: 906
Crystal system: monoclinic

a b c (Å): 5.3236 5.9577 3.8208
angles (deg): 72.58 87.27 115.56
Closest atoms and distances in Å follow each position.
Fractional coordinates of all 4 atoms:
Zr 0.5000 0.5000 0.0000  4 Br 3.02, 4 Te 3.20-3.35
Br 0.0000 0.0000 0.0000  2 Zr 3.02, 2 Te 3.02, 4 Br 3.20-3.35
Br 0.5000 0.0000 0.5000  2 Te 3.02, 2 Zr 3.02, 4 Br 3.20-3.35
Te 0.0000 0.5000 0.5000  4 Br 3.02, 4 Zr 3.20-3.35

---

What did the third record say?
The following is a DFT calculation (PBE) of a relaxed structure of ZrTeBr2.

Values from the calculation:
Energy relative to the elements, uncorrected, meV/atom: -175
Energy above the lowest structure with this stoichiometry, meV per atom: 906
Crystal system: monoclinic

a b c (Å): 5.3236 5.9577 3.8208
angles (deg): 72.58 87.27 115.56
Closest atoms and distances in Å follow each position.
Fractional coordinates of all 4 atoms:
Zr 0.5000 0.5000 0.0000  4 Br 3.02, 4 Te 3.20-3.35
Br 0.0000 0.0000 0.0000  2 Zr 3.02, 2 Te 3.02, 4 Br 3.20-3.35
Br 0.5000 0.0000 0.5000  2 Te 3.02, 2 Zr 3.02, 4 Br 3.20-3.35
Te 0.0000 0.5000 0.5000  4 Br 3.02, 4 Zr 3.20-3.35